A plane-wave DFT calculation with PBE was carried out for crystalline Ti12CrSn6 at its relaxed geometry.

Unit cell a=7.0456 b=7.0456 c=7.0456 alpha=91.66 beta=91.66 gamma=91.66
Closest atoms and distances in Å follow each position.
Fractional positions:
Ti (0.0291, 0.2939, 0.9502)  4 Ti 2.78-3.01, 4 Sn 2.79-3.00
Ti (0.0498, 0.9709, 0.7061)  4 Ti 2.78-3.01, 4 Sn 2.79-3.00
Ti (0.1342, 0.3571, 0.4425)  1 Cr 2.75, 4 Ti 2.78-2.92, 5 Sn 2.93-3.04
Ti (0.2939, 0.9502, 0.0291)  4 Ti 2.78-3.01, 4 Sn 2.79-3.00
Ti (0.3571, 0.4425, 0.1342)  1 Cr 2.75, 4 Ti 2.78-2.92, 5 Sn 2.93-3.04
Ti (0.4425, 0.1342, 0.3571)  1 Cr 2.75, 4 Ti 2.78-2.92, 5 Sn 2.93-3.04
Ti (0.5575, 0.8658, 0.6429)  1 Cr 2.75, 4 Ti 2.78-2.92, 5 Sn 2.93-3.04
Ti (0.6429, 0.5575, 0.8658)  1 Cr 2.75, 4 Ti 2.78-2.92, 5 Sn 2.93-3.04
Ti (0.7061, 0.0498, 0.9709)  4 Ti 2.78-3.01, 4 Sn 2.79-3.00
Ti (0.8658, 0.6429, 0.5575)  1 Cr 2.75, 4 Ti 2.78-2.92, 5 Sn 2.93-3.04
Ti (0.9502, 0.0291, 0.2939)  4 Ti 2.78-3.01, 4 Sn 2.79-3.00
Ti (0.9709, 0.7061, 0.0498)  4 Ti 2.78-3.01, 4 Sn 2.79-3.00
Cr (0.5000, 0.5000, 0.5000)  6 Ti 2.75, 6 Sn 2.86
Sn (0.2189, 0.7597, 0.3796)  9 Ti 2.79-3.04, 1 Cr 2.86, 2 Sn 3.02
Sn (0.2403, 0.6204, 0.7811)  9 Ti 2.79-3.04, 1 Cr 2.86, 2 Sn 3.02
Sn (0.3796, 0.2189, 0.7597)  9 Ti 2.79-3.04, 1 Cr 2.86, 2 Sn 3.02
Sn (0.6204, 0.7811, 0.2403)  9 Ti 2.79-3.04, 1 Cr 2.86, 2 Sn 3.02
Sn (0.7597, 0.3796, 0.2189)  9 Ti 2.79-3.04, 1 Cr 2.86, 2 Sn 3.02
Sn (0.7811, 0.2403, 0.6204)  9 Ti 2.79-3.04, 1 Cr 2.86, 2 Sn 3.02

Computed properties:
- Crystal system: trigonal
- Formation energy from the elements: -141 meV per atom
- D(E_F): 18.40 states/eV/cell